1.
# Li2AlZn GGA-PBEsol relaxed
# Energy (eV per atom): -2.52
# Space group: Cmmm, No. 65
# Energy of formation from the pure elements (eV per formula unit): -0.47
data_Li2AlZn
_chemical_formula_sum 'Li4 Al2 Zn2'
_space_group_name_H-M_alt 'P 1'
_space_group_IT_number 1
_space_group_name_Hall 'P 1'
_cell_length_a 3.5973
_cell_length_b 3.9935
_cell_length_c 8.4979
_cell_angle_alpha 90.00
_cell_angle_beta 90.00
_cell_angle_gamma 90.00
loop_
_atom_site_label
_atom_site_type_symbol
_atom_site_fract_x
_atom_site_fract_y
_atom_site_fract_z
_atom_site_occupancy
Li1 Li 0.0000 0.0000 0.2464 1
Li2 Li 0.0000 0.0000 0.7536 1
Li3 Li 0.5000 0.5000 0.2464 1
Li4 Li 0.5000 0.5000 0.7536 1
Al1 Al 0.0000 0.5000 0.5000 1
Al2 Al 0.5000 0.0000 0.5000 1
Zn1 Zn 0.0000 0.5000 0.0000 1
Zn2 Zn 0.5000 0.0000 0.0000 1



2.
# LiAlZn2 GGA-PBEsol relaxed
# Energy (eV per atom): -2.35
# Space group: R-3m, No. 166
# Energy of formation from the pure elements (eV per formula unit): -0.19
data_LiAlZn2
_chemical_formula_sum 'Li3 Al3 Zn6'
_space_group_name_H-M_alt 'P 1'
_space_group_IT_number 1
_space_group_name_Hall 'P 1'
_cell_length_a 2.7792
_cell_length_b 2.7792
_cell_length_c 26.5877
_cell_angle_alpha 90.00
_cell_angle_beta 90.00
_cell_angle_gamma 120.00
loop_
_atom_site_label
_atom_site_type_symbol
_atom_site_fract_x
_atom_site_fract_y
_atom_site_fract_z
_atom_site_occupancy
Li1 Li 0.0000 0.0000 0.0000 1
Li2 Li 0.3333 0.6667 0.6667 1
Li3 Li 0.6667 0.3333 0.3333 1
Al1 Al 0.0000 0.0000 0.5000 1
Al2 Al 0.3333 0.6667 0.1667 1
Al3 Al 0.6667 0.3333 0.8333 1
Zn1 Zn 0.0000 0.0000 0.2513 1
Zn2 Zn 0.0000 0.0000 0.7487 1
Zn3 Zn 0.3333 0.6667 0.4154 1
Zn4 Zn 0.3333 0.6667 0.9180 1
Zn5 Zn 0.6667 0.3333 0.0820 1
Zn6 Zn 0.6667 0.3333 0.5846 1



3.
# LiAl2Zn GGA-PBEsol relaxed
# Energy (eV per atom): -2.99
# Space group: Pmmm, No. 47
# Energy of formation from the pure elements (eV per formula unit): -0.23
data_LiAl2Zn
_chemical_formula_sum 'Li1 Al2 Zn1'
_space_group_name_H-M_alt 'P 1'
_space_group_IT_number 1
_space_group_name_Hall 'P 1'
_cell_length_a 2.9135
_cell_length_b 3.8983
_cell_length_c 5.4513
_cell_angle_alpha 90.00
_cell_angle_beta 90.00
_cell_angle_gamma 90.00
loop_
_atom_site_label
_atom_site_type_symbol
_atom_site_fract_x
_atom_site_fract_y
_atom_site_fract_z
_atom_site_occupancy
Li1 Li 0.0000 0.0000 0.0000 1
Al1 Al 0.5000 0.5000 0.2537 1
Al2 Al 0.5000 0.5000 0.7463 1
Zn1 Zn 0.0000 0.0000 0.5000 1



4.
# LiAlZn2 GGA-PBEsol relaxed
# Energy (eV per atom): -2.39
# Space group: Cmmm, No. 65
# Energy of formation from the pure elements (eV per formula unit): -0.35
data_LiAlZn2
_chemical_formula_sum 'Li2 Al2 Zn4'
_space_group_name_H-M_alt 'P 1'
_space_group_IT_number 1
_space_group_name_Hall 'P 1'
_cell_length_a 5.5227
_cell_length_b 7.5188
_cell_length_c 2.7987
_cell_angle_alpha 90.00
_cell_angle_beta 90.00
_cell_angle_gamma 90.00
loop_
_atom_site_label
_atom_site_type_symbol
_atom_site_fract_x
_atom_site_fract_y
_atom_site_fract_z
_atom_site_occupancy
Li1 Li 0.0000 0.0000 0.0000 1
Li2 Li 0.5000 0.5000 0.0000 1
Al1 Al 0.0000 0.5000 0.0000 1
Al2 Al 0.5000 0.0000 0.0000 1
Zn1 Zn 0.2500 0.2500 0.5000 1
Zn2 Zn 0.2500 0.7500 0.5000 1
Zn3 Zn 0.7500 0.2500 0.5000 1
Zn4 Zn 0.7500 0.7500 0.5000 1



5.
# Li2AlZn GGA-PBEsol relaxed
# Energy (eV per atom): -2.53
# Space group: Imm2, No. 44
# Energy of formation from the pure elements (eV per formula unit): -0.53
data_Li2AlZn
_chemical_formula_sum 'Li4 Al2 Zn2'
_space_group_name_H-M_alt 'P 1'
_space_group_IT_number 1
_space_group_name_Hall 'P 1'
_cell_length_a 3.1527
_cell_length_b 4.3917
_cell_length_c 8.3692
_cell_angle_alpha 90.00
_cell_angle_beta 90.00
_cell_angle_gamma 90.00
loop_
_atom_site_label
_atom_site_type_symbol
_atom_site_fract_x
_atom_site_fract_y
_atom_site_fract_z
_atom_site_occupancy
Li1 Li 0.0000 0.0000 0.0000 1
Li2 Li 0.0000 0.5000 0.2492 1
Li3 Li 0.5000 0.0000 0.7492 1
Li4 Li 0.5000 0.5000 0.5000 1
Al1 Al 0.0000 0.0000 0.4923 1
Al2 Al 0.5000 0.5000 0.9923 1
Zn1 Zn 0.0000 0.5000 0.7398 1
Zn2 Zn 0.5000 0.0000 0.2398 1



6.
# LiAl2Zn GGA-PBEsol relaxed
# Energy (eV per atom): -2.97
# Space group: F-43m, No. 216
# Energy of formation from the pure elements (eV per formula unit): -0.13
data_LiAl2Zn
_chemical_formula_sum 'Li4 Al8 Zn4'
_space_group_name_H-M_alt 'P 1'
_space_group_IT_number 1
_space_group_name_Hall 'P 1'
_cell_length_a 6.2787
_cell_length_b 6.2787
_cell_length_c 6.2787
_cell_angle_alpha 90.00
_cell_angle_beta 90.00
_cell_angle_gamma 90.00
loop_
_atom_site_label
_atom_site_type_symbol
_atom_site_fract_x
_atom_site_fract_y
_atom_site_fract_z
_atom_site_occupancy
Li1 Li 0.0000 0.0000 0.0000 1
Li2 Li 0.0000 0.5000 0.5000 1
Li3 Li 0.5000 0.0000 0.5000 1
Li4 Li 0.5000 0.5000 0.0000 1
Al1 Al 0.0000 0.0000 0.5000 1
Al2 Al 0.0000 0.5000 0.0000 1
Al3 Al 0.2500 0.2500 0.2500 1
Al4 Al 0.2500 0.7500 0.7500 1
Al5 Al 0.5000 0.0000 0.0000 1
Al6 Al 0.5000 0.5000 0.5000 1
Al7 Al 0.7500 0.2500 0.7500 1
Al8 Al 0.7500 0.7500 0.2500 1
Zn1 Zn 0.2500 0.2500 0.7500 1
Zn2 Zn 0.2500 0.7500 0.2500 1
Zn3 Zn 0.7500 0.2500 0.2500 1
Zn4 Zn 0.7500 0.7500 0.7500 1



7.
# LiAlZn4 GGA-PBEsol relaxed
# Energy (eV per atom): -2.13
# Space group: F-43m, No. 216
# Energy of formation from the pure elements (eV per formula unit): -0.42
data_LiAlZn4
_chemical_formula_sum 'Li1 Al1 Zn4'
_space_group_name_H-M_alt 'P 1'
_space_group_IT_number 1
_space_group_name_Hall 'P 1'
_cell_length_a 5.0214
_cell_length_b 5.0214
_cell_length_c 5.0214
_cell_angle_alpha 60.00
_cell_angle_beta 60.00
_cell_angle_gamma 60.00
loop_
_atom_site_label
_atom_site_type_symbol
_atom_site_fract_x
_atom_site_fract_y
_atom_site_fract_z
_atom_site_occupancy
Li1 Li 0.0000 0.0000 0.0000 1
Al1 Al 0.7500 0.7500 0.7500 1
Zn1 Zn 0.3745 0.3745 0.3745 1
Zn2 Zn 0.3745 0.3745 0.8765 1
Zn3 Zn 0.3745 0.8765 0.3745 1
Zn4 Zn 0.8765 0.3745 0.3745 1



8.
# LiAlZn2 GGA-PBEsol relaxed
# Energy (eV per atom): -2.42
# Space group: P4/mmm, No. 123
# Energy of formation from the pure elements (eV per formula unit): -0.47
data_LiAlZn2
_chemical_formula_sum 'Li1 Al1 Zn2'
_space_group_name_H-M_alt 'P 1'
_space_group_IT_number 1
_space_group_name_Hall 'P 1'
_cell_length_a 3.9114
_cell_length_b 3.9114
_cell_length_c 3.7667
_cell_angle_alpha 90.00
_cell_angle_beta 90.00
_cell_angle_gamma 90.00
loop_
_atom_site_label
_atom_site_type_symbol
_atom_site_fract_x
_atom_site_fract_y
_atom_site_fract_z
_atom_site_occupancy
Li1 Li 0.0000 0.0000 0.0000 1
Al1 Al 0.5000 0.5000 0.0000 1
Zn1 Zn 0.0000 0.5000 0.5000 1
Zn2 Zn 0.5000 0.0000 0.5000 1



9.
# Li2AlZn GGA-PBEsol relaxed
# Energy (eV per atom): -2.53
# Space group: Cm, No. 8
# Energy of formation from the pure elements (eV per formula unit): -0.53
data_Li2AlZn
_chemical_formula_sum 'Li4 Al2 Zn2'
_space_group_name_H-M_alt 'P 1'
_space_group_IT_number 1
_space_group_name_Hall 'P 1'
_cell_length_a 8.8819
_cell_length_b 2.7202
_cell_length_c 5.0448
_cell_angle_alpha 90.00
_cell_angle_beta 96.46
_cell_angle_gamma 90.00
loop_
_atom_site_label
_atom_site_type_symbol
_atom_site_fract_x
_atom_site_fract_y
_atom_site_fract_z
_atom_site_occupancy
Li1 Li 0.0000 0.0000 0.0000 1
Li2 Li 0.2337 0.0000 0.7483 1
Li3 Li 0.5000 0.5000 0.0000 1
Li4 Li 0.7337 0.5000 0.7483 1
Al1 Al 0.2464 0.5000 0.2633 1
Al2 Al 0.7464 0.0000 0.2633 1
Zn1 Zn 0.4905 0.0000 0.4965 1
Zn2 Zn 0.9905 0.5000 0.4965 1



10.
# LiZrAl GGA-PBEsol relaxed
# Energy (eV per atom): -4.83
# Space group: F-43m, No. 216
# Energy of formation from the pure elements (eV per formula unit): 0.66
data_LiZrAl
_chemical_formula_sum 'Li4 Zr4 Al4'
_space_group_name_H-M_alt 'P 1'
_space_group_IT_number 1
_space_group_name_Hall 'P 1'
_cell_length_a 6.0237
_cell_length_b 6.0237
_cell_length_c 6.0237
_cell_angle_alpha 90.00
_cell_angle_beta 90.00
_cell_angle_gamma 90.00
loop_
_atom_site_label
_atom_site_type_symbol
_atom_site_fract_x
_atom_site_fract_y
_atom_site_fract_z
_atom_site_occupancy
Li1 Li 0.0000 0.0000 0.0000 1
Li2 Li 0.0000 0.5000 0.5000 1
Li3 Li 0.5000 0.0000 0.5000 1
Li4 Li 0.5000 0.5000 0.0000 1
Zr1 Zr 0.2500 0.2500 0.2500 1
Zr2 Zr 0.2500 0.7500 0.7500 1
Zr3 Zr 0.7500 0.2500 0.7500 1
Zr4 Zr 0.7500 0.7500 0.2500 1
Al1 Al 0.2500 0.2500 0.7500 1
Al2 Al 0.2500 0.7500 0.2500 1
Al3 Al 0.7500 0.2500 0.2500 1
Al4 Al 0.7500 0.7500 0.7500 1



11.
# Li3ZrAl GGA-PBEsol relaxed
# Energy (eV per atom): -3.20
# Space group: Pm-3m, No. 221
# Energy of formation from the pure elements (eV per formula unit): 3.07
data_Li3ZrAl
_chemical_formula_sum 'Li3 Zr1 Al1'
_space_group_name_H-M_alt 'P 1'
_space_group_IT_number 1
_space_group_name_Hall 'P 1'
_cell_length_a 4.5204
_cell_length_b 4.5204
_cell_length_c 4.5204
_cell_angle_alpha 90.00
_cell_angle_beta 90.00
_cell_angle_gamma 90.00
loop_
_atom_site_label
_atom_site_type_symbol
_atom_site_fract_x
_atom_site_fract_y
_atom_site_fract_z
_atom_site_occupancy
Li1 Li 0.0000 0.0000 0.5000 1
Li2 Li 0.0000 0.5000 0.0000 1
Li3 Li 0.5000 0.0000 0.0000 1
Zr1 Zr 0.5000 0.5000 0.5000 1
Al1 Al 0.0000 0.0000 0.0000 1



12.
# Lu3Al2 GGA-PBEsol relaxed
# Energy (eV per atom): -4.88
# Space group: P4_2/mnm, No. 136
# Energy of formation from the pure elements (eV per formula unit): -1.59
data_Lu3Al2
_chemical_formula_sum 'Lu12 Al8'
_space_group_name_H-M_alt 'P 1'
_space_group_IT_number 1
_space_group_name_Hall 'P 1'
_cell_length_a 7.9571
_cell_length_b 7.9571
_cell_length_c 7.3449
_cell_angle_alpha 90.00
_cell_angle_beta 90.00
_cell_angle_gamma 90.00
loop_
_atom_site_label
_atom_site_type_symbol
_atom_site_fract_x
_atom_site_fract_y
_atom_site_fract_z
_atom_site_occupancy
Lu1 Lu 0.0000 0.5000 0.2500 1
Lu2 Lu 0.0000 0.5000 0.7500 1
Lu3 Lu 0.1494 0.1494 0.0000 1
Lu4 Lu 0.2024 0.2024 0.5000 1
Lu5 Lu 0.2976 0.7024 0.0000 1
Lu6 Lu 0.3506 0.6494 0.5000 1
Lu7 Lu 0.5000 0.0000 0.2500 1
Lu8 Lu 0.5000 0.0000 0.7500 1
Lu9 Lu 0.6494 0.3506 0.5000 1
Lu10 Lu 0.7024 0.2976 0.0000 1
Lu11 Lu 0.7976 0.7976 0.5000 1
Lu12 Lu 0.8506 0.8506 0.0000 1
Al1 Al 0.1205 0.8795 0.3031 1
Al2 Al 0.1205 0.8795 0.6969 1
Al3 Al 0.3795 0.3795 0.1969 1
Al4 Al 0.3795 0.3795 0.8031 1
Al5 Al 0.6205 0.6205 0.1969 1
Al6 Al 0.6205 0.6205 0.8031 1
Al7 Al 0.8795 0.1205 0.3031 1
Al8 Al 0.8795 0.1205 0.6969 1